1.
CeLuP, relaxed, DFT PBE; ρ = 7880 kg/m3; VASP energy = -18.0 eV/cell; E_form = -0.7162 eV per atom; total moment = 0.399 μB per atom
1.0
-1.758 1.758 5.900
1.758 -1.758 5.900
1.758 1.758 -5.900
Ce Lu P
1 1 1
Direct
0.000 0.000 0.000 Ce
0.735 0.735 0.000 Lu
0.359 0.359 0.000 P

2.
Ce2LuPa, relaxed, DFT PBE; ρ = 10437 kg/m3; VASP energy = -25.6 eV/cell; E_form = 0.0782 eV per atom; total moment = 0.000 μB per atom
1.0
3.350 0.000 0.000
0.000 3.350 0.000
0.000 0.000 9.731
Ce Lu Pa
2 1 1
Direct
0.000 0.000 0.237 Ce
0.000 0.000 0.763 Ce
0.500 0.500 0.500 Lu
0.500 0.500 0.000 Pa

3.
CeLuPa2, relaxed, DFT PBE; ρ = 11830 kg/m3; VASP energy = -28.0 eV/cell; E_form = 0.3701 eV per atom; total moment = 0.000 μB per atom
1.0
2.572 1.485 4.759
-2.572 1.485 4.759
0.000 -2.970 4.759
Ce Lu Pa
1 1 2
Direct
0.000 0.000 0.000 Ce
0.500 0.500 0.500 Lu
0.286 0.286 0.286 Pa
0.714 0.714 0.714 Pa

4.
CeLuPa2, relaxed, DFT PBE; ρ = 12526 kg/m3; VASP energy = -28.9 eV/cell; E_form = 0.1341 eV per atom; total moment = 0.000 μB per atom
1.0
3.181 0.000 0.000
0.000 3.181 0.000
0.000 0.000 10.180
Ce Lu Pa
1 1 2
Direct
0.000 0.000 0.000 Ce
0.000 0.000 0.500 Lu
0.500 0.500 0.245 Pa
0.500 0.500 0.755 Pa

5.
Ce2LuPa, relaxed, DFT PBE; ρ = 10632 kg/m3; VASP energy = -25.2 eV/cell; E_form = 0.1607 eV per atom; total moment = 0.000 μB per atom
1.0
4.774 0.000 0.000
0.000 4.774 0.000
0.000 0.000 4.703
Ce Lu Pa
2 1 1
Direct
0.000 0.500 0.000 Ce
0.500 0.000 0.000 Ce
0.000 0.000 0.500 Lu
0.500 0.500 0.500 Pa

6.
CeLuPa2, relaxed, DFT PBE; ρ = 12376 kg/m3; VASP energy = -28.8 eV/cell; E_form = 0.1678 eV per atom; total moment = 0.000 μB per atom
1.0
4.626 0.000 0.000
0.000 4.626 0.000
0.000 0.000 4.873
Ce Lu Pa
1 1 2
Direct
0.000 0.000 0.000 Ce
0.500 0.500 0.000 Lu
0.000 0.500 0.500 Pa
0.500 0.000 0.500 Pa

7.
Ce2LuPa, relaxed, DFT PBE; ρ = 10310 kg/m3; VASP energy = -24.5 eV/cell; E_form = 0.3430 eV per atom; total moment = 0.616 μB per atom
1.0
0.000 3.809 3.809
3.809 0.000 3.809
3.809 3.809 0.000
Ce Lu Pa
2 1 1
Direct
0.250 0.250 0.250 Ce
0.750 0.750 0.750 Ce
0.000 0.000 0.000 Lu
0.500 0.500 0.500 Pa

8.
Ce2LuPa, relaxed, DFT PBE; ρ = 10520 kg/m3; VASP energy = -25.6 eV/cell; E_form = 0.0622 eV per atom; total moment = 0.000 μB per atom
1.0
1.680 0.970 11.077
-1.680 0.970 11.077
0.000 -1.940 11.077
Ce Lu Pa
2 1 1
Direct
0.247 0.247 0.247 Ce
0.753 0.753 0.753 Ce
0.000 0.000 0.000 Lu
0.500 0.500 0.500 Pa